Record 1
The following is a DFT calculation (GGA-PBE) of a relaxed NbVH3 crystal.

Cell: 5.7408 5.7408 5.2016 Å, 100.04 100.04 97.96°
Last column: nearest neighbours and their distance in Å.
Sites, in units of the cell vectors:
1 Nb 0.0931 0.9069 0.2500  6 H 1.92-1.98
2 Nb 0.9069 0.0931 0.7500  6 H 1.92-1.98
3 Nb 0.7014 0.2986 0.2500  6 H 1.91-2.05
4 Nb 0.2986 0.7014 0.7500  6 H 1.91-2.05
5 V 0.7571 0.5673 0.8681  5 H 1.80-1.93
6 V 0.4327 0.2429 0.6319  5 H 1.80-1.93
7 V 0.2429 0.4327 0.1319  5 H 1.80-1.93
8 V 0.5673 0.7571 0.3681  5 H 1.80-1.93
9 H 0.0054 0.8132 0.8681  1 V 1.86, 3 Nb 1.92-2.04, 1 H 2.07
10 H 0.1868 0.9946 0.6319  1 V 1.86, 3 Nb 1.92-2.04, 1 H 2.07
11 H 0.9946 0.1868 0.1319  1 V 1.86, 3 Nb 1.92-2.04, 1 H 2.07
12 H 0.8132 0.0054 0.3681  1 V 1.86, 3 Nb 1.92-2.04, 1 H 2.07
13 H 0.0386 0.4387 0.8004  2 V 1.92-1.93, 2 Nb 1.98-2.05, 1 H 2.12
14 H 0.5613 0.9614 0.6996  2 V 1.92-1.93, 2 Nb 1.98-2.05, 1 H 2.12
15 H 0.9614 0.5613 0.1996  2 V 1.92-1.93, 2 Nb 1.98-2.05, 1 H 2.12
16 H 0.4387 0.0386 0.3004  2 V 1.92-1.93, 2 Nb 1.98-2.05, 1 H 2.12
17 H 0.5862 0.7741 0.0179  2 V 1.80-1.86, 1 Nb 1.91
18 H 0.2259 0.4138 0.4821  2 V 1.80-1.86, 1 Nb 1.91
19 H 0.4138 0.2259 0.9821  2 V 1.80-1.86, 1 Nb 1.91
20 H 0.7741 0.5862 0.5179  2 V 1.80-1.86, 1 Nb 1.91

## Properties
total magnetic moment	0.0	Bohr magnetons per cell
energy above the most stable polymorph in this dataset	0	meV per atom

---

Record 2
The following is a DFT calculation (GGA-PBE) of a relaxed RePPt3 crystal.

Cell: 4.8134 4.8134 4.8134 Å, 90.00 90.00 90.00°
Last column: nearest neighbours and their distance in Å.
Sites, in units of the cell vectors:
1 Re 0.0000 0.0000 0.0000  6 Pt 2.41
2 Pt 0.0000 0.5000 0.0000  2 Re 2.41
3 Pt 0.0000 0.0000 0.5000  2 Re 2.41
4 Pt 0.5000 0.0000 0.0000  2 Re 2.41
5 P 0.5000 0.5000 0.5000  12 Pt 3.40

## Properties
total magnetic moment	0.0	Bohr magnetons per cell
calculated formation energy	1.552	eV per atom
energy above the most stable polymorph in this dataset	757	meV per atom

---

Record 3
The following is a DFT calculation (GGA-PBE) of a relaxed Ga3Cu7Au crystal.

Cell: 4.9709 6.5937 6.5937 Å, 82.61 118.89 118.89°
Last column: nearest neighbours and their distance in Å.
Sites, in units of the cell vectors:
1 Ga 0.0000 0.7844 0.2156  7 Cu 2.48-2.59
2 Ga 0.5000 0.0000 0.0000  6 Cu 2.45-2.50
3 Ga 0.0000 0.2156 0.7844  7 Cu 2.48-2.59
4 Cu 0.3844 0.2058 0.2058  3 Ga 2.45-2.51, 5 Cu 2.53-2.64, 1 Au 2.58
5 Cu 0.3276 0.0584 0.5815  3 Ga 2.49-2.59, 4 Cu 2.60-2.79, 1 Au 2.67
6 Cu 0.6724 0.4185 0.9416  3 Ga 2.49-2.59, 4 Cu 2.60-2.79, 1 Au 2.67
7 Cu 0.3276 0.5815 0.0584  3 Ga 2.49-2.59, 4 Cu 2.60-2.79, 1 Au 2.67
8 Cu 0.0000 0.5000 0.5000  2 Ga 2.48, 2 Au 2.49, 2 Cu 2.53
9 Cu 0.6724 0.9416 0.4185  3 Ga 2.49-2.59, 4 Cu 2.60-2.79, 1 Au 2.67
10 Cu 0.6156 0.7942 0.7942  3 Ga 2.45-2.51, 5 Cu 2.53-2.64, 1 Au 2.58
11 Au 0.5000 0.5000 0.5000  8 Cu 2.49-2.67

## Properties
total magnetic moment	0.0	Bohr magnetons per cell
calculated formation energy	0.085	eV per atom

---

Record 4
The following is a DFT calculation (GGA-PBE) of a relaxed CaNpN2 crystal.

Cell: 3.4848 3.4848 11.4523 Å, 90.00 90.00 120.00°
Last column: nearest neighbours and their distance in Å.
Sites, in units of the cell vectors:
1 Ca 0.6667 0.3333 0.2500  6 N 2.61
2 Ca 0.3333 0.6667 0.7500  6 N 2.61
3 Np 0.0000 0.0000 0.5000  6 N 2.34
4 Np 0.0000 0.0000 0.0000  6 N 2.34
5 N 0.3333 0.6667 0.3958  3 Np 2.34, 3 Ca 2.61
6 N 0.6667 0.3333 0.8958  3 Np 2.34, 3 Ca 2.61
7 N 0.6667 0.3333 0.6042  3 Np 2.34, 3 Ca 2.61
8 N 0.3333 0.6667 0.1042  3 Np 2.34, 3 Ca 2.61

## Properties
total magnetic moment	6.0	Bohr magnetons per cell
ΔE_f (raw)	-1.141	eV/atom

---

Record 5
The following is a DFT calculation (GGA-PBE) of a relaxed PaSnRhAu crystal.

Cell: 4.8922 4.8922 4.8922 Å, 60.00 60.00 60.00°
Last column: nearest neighbours and their distance in Å.
Sites, in units of the cell vectors:
1 Rh 0.7500 0.7500 0.7500  4 Sn 3.00, 4 Pa 3.00
2 Pa 0.5000 0.5000 0.5000  4 Rh 3.00, 4 Au 3.00
3 Au 0.2500 0.2500 0.2500  4 Sn 3.00, 4 Pa 3.00
4 Sn 0.0000 0.0000 0.0000  4 Rh 3.00, 4 Au 3.00

## Properties
total magnetic moment	0.0	Bohr magnetons per cell
calculated formation energy	-0.467	eV per atom

---

Record 6
The following is a DFT calculation (GGA-PBE) of a relaxed LaNd4Er3Se8 crystal.

Cell: 8.2894 8.4020 8.2917 Å, 119.58 119.99 90.00°
Last column: nearest neighbours and their distance in Å.
Sites, in units of the cell vectors:
1 La 0.0000 0.5000 0.0000  6 Se 2.97
2 Nd 0.5000 0.0000 0.0000  6 Se 2.94
3 Nd 0.5000 0.0000 0.5000  6 Se 3.03
4 Nd 0.0000 0.0000 0.0000  6 Se 3.03
5 Nd 0.0000 0.0000 0.5000  6 Se 3.03
6 Er 0.5000 0.5000 0.0000  6 Se 2.87-2.88
7 Er 0.5000 0.5000 0.5000  6 Se 2.87-2.88
8 Er 0.0000 0.5000 0.5000  6 Se 2.87-2.88
9 Se 0.2513 0.7381 0.9869  2 Er 2.87, 3 Nd 2.94-3.03, 1 La 2.97
10 Se 0.2513 0.7382 0.5026  2 Er 2.87, 3 Nd 2.94-3.03, 1 La 2.97
11 Se 0.2562 0.2688 0.5125  3 Er 2.88, 3 Nd 3.03
12 Se 0.7356 0.7381 0.9869  2 Er 2.87, 3 Nd 2.94-3.03, 1 La 2.97
13 Se 0.2644 0.2619 0.0131  2 Er 2.87, 3 Nd 2.94-3.03, 1 La 2.97
14 Se 0.7438 0.7312 0.4875  3 Er 2.88, 3 Nd 3.03
15 Se 0.7487 0.2618 0.4974  2 Er 2.87, 3 Nd 2.94-3.03, 1 La 2.97
16 Se 0.7487 0.2619 0.0131  2 Er 2.87, 3 Nd 2.94-3.03, 1 La 2.97

## Properties
total magnetic moment	0.0	Bohr magnetons per cell
ΔE_f (raw)	-1.799	eV/atom

---

Q: total magnetic moment of number 3 (Ga3Cu7Au)?
A: 0.0 Bohr magnetons per cell

---

Q: The highest total magnetic moment belongs to which entry?
A: CaNpN2